# 1
DFT (GGA-PBE) results for a relaxed structure of TlHgCl.

Output
As for the space-group type: I4mm (107). The calculation puts the energy above the most stable polymorph in this dataset at 0.059 eV/atom. The calculation puts the formation energy (no corrections) at -0.586 eV/atom. The value obtained for the density is 7.3 g/cm³.

Cell and atoms, written as POSCAR:
```
TlHgCl
1.0
-1.977 1.977 6.391
1.977 -1.977 6.391
1.977 1.977 -6.391
Tl Hg Cl
1 1 1
Cartesian
0.000 0.000 0.000 Tl
0.000 0.000 3.853 Hg
0.000 0.000 7.739 Cl
```

---

# 2
DFT (GGA-PBE) results for a relaxed structure of PmHo2NpAs4.

Output
As for the space-group type: P2/m (10). Its calculated formation energy is -1.303 eV per atom. The value obtained for the density is 8.4 g/cm³.

Cell and atoms, written as POSCAR:
```
PmHo2NpAs4
1.0
7.154 0.000 0.000
0.000 4.131 0.000
-2.373 0.000 6.761
Pm Ho Np As
1 2 1 4
Cartesian
0.000 0.000 0.000 Pm
2.390 0.000 3.381 Ho
3.577 2.065 0.000 Ho
-1.187 2.065 3.381 Np
0.033 0.000 5.046 As
1.208 2.065 1.740 As
3.572 2.065 5.021 As
4.748 0.000 1.716 As
```

---

# 3
DFT (GGA-PBE) results for a relaxed structure of Pm2Er12Tm.

Output
As for the space-group type: P4/nbm (125). Its calculated formation energy is 0.377 eV per atom. The value obtained for the density is 8.1 g/cm³.

Cell and atoms, written as POSCAR:
```
Pm2Er12Tm
1.0
6.410 0.000 0.000
0.000 6.410 0.000
0.000 0.000 24.466
Pm Er Tm
4 24 2
Cartesian
1.602 4.807 5.809 Pm
1.602 4.807 18.657 Pm
4.807 1.602 5.809 Pm
4.807 1.602 18.657 Pm
0.001 6.409 9.527 Er
6.409 0.001 14.939 Er
6.409 3.204 9.527 Er
0.001 3.206 14.939 Er
0.520 3.725 1.489 Er
0.520 5.889 22.977 Er
1.602 1.602 3.956 Er
1.602 1.602 7.055 Er
1.602 1.602 17.411 Er
1.602 1.602 20.510 Er
2.685 3.725 22.977 Er
2.685 5.889 1.489 Er
3.206 0.001 9.527 Er
3.204 6.409 14.939 Er
3.204 3.206 9.527 Er
3.206 3.204 14.939 Er
3.725 0.520 22.977 Er
3.725 2.685 1.489 Er
4.807 4.807 3.956 Er
4.807 4.807 7.055 Er
4.807 4.807 17.411 Er
4.807 4.807 20.510 Er
5.889 0.520 1.489 Er
5.889 2.685 22.977 Er
1.602 4.807 12.233 Tm
4.807 1.602 12.233 Tm
```

---

# 4
DFT (GGA-PBE) results for a relaxed structure of CsNa2P2S6.

Output
As for the space-group type: P-1 (2). The calculation puts the formation energy (no corrections) at -0.650 eV/atom. The value obtained for the density is 2.2 g/cm³.

Cell and atoms, written as POSCAR:
```
CsNa2P2S6
1.0
7.002 0.000 0.000
-2.283 6.774 0.000
-1.733 -2.803 6.813
Cs Na P S
1 2 2 6
Cartesian
0.000 0.000 0.000 Cs
-0.663 2.384 4.896 Na
3.649 1.587 1.917 Na
0.472 4.571 2.577 P
2.514 -0.599 4.236 P
-1.328 3.706 2.372 S
1.144 0.660 3.362 S
1.188 5.548 0.963 S
1.798 -1.577 5.850 S
1.842 3.311 3.452 S
4.314 0.266 4.441 S
```

---

# 5
DFT (GGA-PBE) results for a relaxed structure of MnTl2Cd.

Output
As for the space-group type: P4/mmm (123). The calculation puts the energy above the most stable polymorph in this dataset at 0.074 eV/atom. Its calculated formation energy is 0.343 eV per atom. The value obtained for the density is 10.0 g/cm³.

Cell and atoms, written as POSCAR:
```
MnTl2Cd
1.0
3.419 0.000 0.000
0.000 3.419 0.000
0.000 0.000 8.184
Mn Tl Cd
1 2 1
Cartesian
0.000 0.000 0.000 Mn
1.710 1.710 1.824 Tl
1.710 1.710 6.360 Tl
0.000 0.000 4.092 Cd
```

---

# 6
DFT (GGA-PBE) results for a relaxed structure of Cd2MoW.

Output
As for the space-group type: P4/mmm (123). The calculation puts the energy above the most stable polymorph in this dataset at 0.588 eV/atom. Its calculated formation energy is 0.879 eV per atom. The value obtained for the density is 11.6 g/cm³.

Cell and atoms, written as POSCAR:
```
Cd2MoW
1.0
5.091 0.000 0.000
0.000 5.091 0.000
0.000 0.000 2.776
Cd Mo W
2 1 1
Cartesian
0.000 2.545 0.000 Cd
2.545 0.000 0.000 Cd
0.000 0.000 1.388 Mo
2.545 2.545 1.388 W
```

---

Q: The highest density belongs to which entry?
A: Cd2MoW